Entry 1:
Entry from Alexandria via LeMat-Bulk: crystalline Tl3Au at its relaxed geometry (GGA-PBEsol).

Results
Total DFT energy (no corrections) in eV/atom: -2.942
Theoretical density in g cm⁻³: 12.99

a = 7.205 Å, b = 7.205 Å, c = 4.116 Å
α = 90.00°, β = 90.00°, γ = 104.20°
Sites, in units of the cell vectors:
Tl1 0.109 0.891 0.750
Tl2 0.181 0.415 0.750
Tl3 0.415 0.181 0.250
Tl4 0.585 0.819 0.750
Tl5 0.819 0.585 0.250
Tl6 0.891 0.109 0.250
Au1 0.291 0.709 0.250
Au2 0.709 0.291 0.750

=====

Entry 2:
Entry from Alexandria via LeMat-Bulk: crystalline Tl2Au at its relaxed geometry (GGA-PBEsol).

Results
Total DFT energy (no corrections) in eV/atom: -3.039
Theoretical density in g cm⁻³: 13.41

a = 13.719 Å, b = 13.719 Å, c = 13.719 Å
α = 166.05°, β = 166.05°, γ = 19.77°
Sites, in units of the cell vectors:
Tl1 0.304 0.554 0.750
Tl2 0.446 0.696 0.750
Tl3 0.554 0.304 0.250
Tl4 0.696 0.446 0.250
Au1 0.125 0.875 0.250
Au2 0.875 0.125 0.750

=====

Entry 3:
Entry from Alexandria via LeMat-Bulk: crystalline Tl2Au at its relaxed geometry (GGA-PBEsol).

Results
Total DFT energy (no corrections) in eV/atom: -3.025
Theoretical density in g cm⁻³: 12.82

a = 6.411 Å, b = 7.263 Å, c = 3.371 Å
α = 90.00°, β = 90.00°, γ = 90.00°
Sites, in units of the cell vectors:
Tl1 0.176 0.146 0.000
Tl2 0.324 0.646 0.500
Tl3 0.676 0.354 0.500
Tl4 0.824 0.854 0.000
Au1 0.000 0.500 0.000
Au2 0.500 0.000 0.500